Entry 1:
{
  "formula": "RbSrAlCl6",
  "functional": "PBE",
  "state": "optimized geometry",
  "raw_formation_energy_ev_per_atom": -1.94,
  "space_group": "P-31c",
  "lattice": [[7.0606, 0.0000, 0.0000], [-3.5303, 6.1146, 0.0000], [0.0000, 0.0000, 13.7387]],
  "species": ["Sr", "Sr", "Cl", "Cl", "Cl", "Cl", "Cl", "Cl", "Cl", "Cl", "Cl", "Cl", "Cl", "Cl", "Rb", "Rb", "Al", "Al"],
  "fractional_positions": [[0.3333, 0.6667, 0.2500], [0.6667, 0.3333, 0.7500], [0.6575, 0.5997, 0.1494], [0.4003, 0.3425, 0.3506], [0.9422, 0.3425, 0.1494], [0.9422, 0.5997, 0.3506], [0.3425, 0.9422, 0.6494], [0.4003, 0.0578, 0.1494], [0.5997, 0.6575, 0.6494], [0.6575, 0.0578, 0.3506], [0.3425, 0.4003, 0.8506], [0.5997, 0.9422, 0.8506], [0.0578, 0.6575, 0.8506], [0.0578, 0.4003, 0.6494], [0.0000, 0.0000, 0.0000], [0.0000, 0.0000, 0.5000], [0.6667, 0.3333, 0.2500], [0.3333, 0.6667, 0.7500]]
}


Entry 2:
{
  "formula": "YTe4P",
  "functional": "PBE",
  "state": "optimized geometry",
  "raw_formation_energy_ev_per_atom": 0.32,
  "space_group": "F-43m",
  "lattice": [[-5.4765, 0.8680, 2.8090], [-4.8661, 2.0883, -3.2552], [-4.7659, -3.7918, -1.2428]],
  "species": ["Te", "Te", "Te", "Te", "Y", "P"],
  "fractional_positions": [[0.3749, 0.8754, 0.3749], [0.8754, 0.3749, 0.3749], [0.3749, 0.3749, 0.3749], [0.3749, 0.3749, 0.8754], [0.7500, 0.7500, 0.7500], [0.0000, 0.0000, 0.0000]]
}


Entry 3:
{
  "formula": "Y2InSe",
  "functional": "PBE",
  "state": "optimized geometry",
  "raw_formation_energy_ev_per_atom": -0.81,
  "e_above_lowest_polymorph_kj_per_mol_fu": 126,
  "space_group": "Cmmm",
  "lattice": [[5.3677, -0.0748, 0.0000], [-0.2960, 5.3600, 0.0000], [0.0000, 0.0000, 3.5419]],
  "species": ["Se", "In", "Y", "Y"],
  "fractional_positions": [[0.0000, 0.5000, 0.5000], [0.5000, 0.0000, 0.5000], [0.5000, 0.5000, 0.0000], [0.0000, 0.0000, 0.0000]]
}


Entry 4:
{
  "formula": "Sc5AlAu4",
  "functional": "PBE",
  "state": "optimized geometry",
  "e_tot_ev_per_cell": -55.86,
  "space_group": "P4/mmm",
  "lattice": [[-0.4805, -1.3645, -3.0811], [3.3375, -0.6222, -0.2450], [-2.3209, -15.2515, 7.1165]],
  "species": ["Au", "Au", "Au", "Au", "Sc", "Sc", "Sc", "Sc", "Sc", "Al"],
  "fractional_positions": [[0.0000, 0.0000, 0.5996], [0.0000, 0.0000, 0.4004], [0.0000, 0.0000, 0.1954], [0.0000, 0.0000, 0.8046], [0.5000, 0.5000, 0.7008], [0.5000, 0.5000, 0.2992], [0.5000, 0.5000, 0.5000], [0.5000, 0.5000, 0.8992], [0.5000, 0.5000, 0.1008], [0.0000, 0.0000, 0.0000]]
}


Entry 5:
{
  "formula": "CeFe4As12",
  "functional": "PBE",
  "state": "optimized geometry",
  "e_tot_ev_per_cell": -102.67,
  "space_group": "Im-3",
  "lattice": [[-4.5137, -4.4846, -3.3861], [4.3801, -3.7876, 4.2917], [-3.7867, 4.6816, 3.9615]],
  "species": ["Fe", "Fe", "Fe", "Fe", "As", "As", "As", "As", "As", "As", "As", "As", "As", "As", "As", "As", "Ce"],
  "fractional_positions": [[0.0000, 0.0000, 0.5000], [0.5000, 0.0000, 0.0000], [0.0000, 0.5000, 0.0000], [0.5000, 0.5000, 0.5000], [0.3420, 0.4983, 0.1563], [0.1857, 0.8437, 0.3420], [0.4983, 0.1563, 0.3420], [0.6580, 0.5017, 0.8437], [0.8437, 0.3420, 0.1857], [0.8143, 0.1563, 0.6580], [0.3420, 0.1857, 0.8437], [0.1563, 0.6580, 0.8143], [0.6580, 0.8143, 0.1563], [0.5017, 0.8437, 0.6580], [0.8437, 0.6580, 0.5017], [0.1563, 0.3420, 0.4983], [0.0000, 0.0000, 0.0000]]
}


Entry 6:
{
  "formula": "Y2TcBr",
  "functional": "PBE",
  "state": "optimized geometry",
  "raw_formation_energy_ev_per_atom": -0.59,
  "e_above_lowest_polymorph_kj_per_mol_fu": 0,
  "space_group": "P2/m",
  "lattice": [[-1.9820, -2.8543, 0.2745], [0.8655, -0.9194, -3.3116], [6.4959, -4.2351, 2.8656]],
  "species": ["Br", "Y", "Y", "Tc"],
  "fractional_positions": [[0.5000, 0.2500, 0.2500], [0.0000, 0.2235, 0.9471], [0.0000, 0.2765, 0.5529], [0.5000, 0.7500, 0.7500]]
}


Entry 7:
{
  "formula": "HfHRh3",
  "functional": "PBE",
  "state": "optimized geometry",
  "e_above_lowest_polymorph_kj_per_mol_fu": 28,
  "space_group": "Pm",
  "lattice": [[5.6794, -0.0001, 0.0001], [0.0002, 5.6616, -0.0029], [0.0000, 0.0006, 4.0016]],
  "species": ["Rh", "Rh", "Rh", "Rh", "Rh", "Rh", "Hf", "Hf", "H", "H"],
  "fractional_positions": [[0.1215, 0.7766, 0.8075], [0.8586, 0.5164, 0.3282], [0.8649, 0.0255, 0.3162], [0.3845, 0.5164, 0.3282], [0.3781, 0.0255, 0.3162], [0.6215, 0.2716, 0.8221], [0.1215, 0.2623, 0.8090], [0.6215, 0.7745, 0.8202], [0.1215, 0.5574, 0.1160], [0.1215, 0.8450, 0.3621]]
}


Entry 8:
{
  "formula": "Ce5SbIr",
  "functional": "PBE",
  "state": "optimized geometry",
  "raw_formation_energy_ev_per_atom": -0.39,
  "space_group": "C2/c",
  "lattice": [[6.3960, 0.3516, 0.0793], [2.3626, 5.9541, 0.0793], [3.1791, 2.2887, 10.0816]],
  "species": ["Ir", "Ir", "Ce", "Ce", "Ce", "Ce", "Ce", "Ce", "Ce", "Ce", "Ce", "Ce", "Sb", "Sb"],
  "fractional_positions": [[0.0000, 0.0000, 0.0000], [0.0000, 0.0000, 0.5000], [0.4881, 0.2110, 0.0607], [0.0109, 0.5620, 0.1623], [0.4380, 0.9891, 0.3377], [0.5620, 0.0109, 0.6623], [0.2110, 0.4881, 0.5607], [0.0446, 0.9554, 0.7500], [0.5119, 0.7890, 0.9393], [0.9891, 0.4380, 0.8377], [0.9554, 0.0446, 0.2500], [0.7890, 0.5119, 0.4393], [0.5258, 0.4742, 0.7500], [0.4742, 0.5258, 0.2500]]
}


Entry 9:
{
  "formula": "BeAlSeN2",
  "functional": "PBE",
  "state": "optimized geometry",
  "raw_formation_energy_ev_per_atom": 0.86,
  "e_above_lowest_polymorph_kj_per_mol_fu": 46,
  "space_group": "P4/mmm",
  "lattice": [[-2.2815, 0.0389, -2.5218], [0.1637, -3.3910, -0.2005], [-4.6141, -0.4691, 4.1672]],
  "species": ["N", "N", "Se", "Al", "Be"],
  "fractional_positions": [[0.5000, 0.0000, 0.0000], [0.0000, 0.5000, 0.0000], [0.0000, 0.0000, 0.5000], [0.5000, 0.5000, 0.5000], [0.0000, 0.0000, 0.0000]]
}


Entry 10:
{
  "formula": "KSn4Pd",
  "functional": "PBE",
  "state": "optimized geometry",
  "e_tot_ev_per_cell": -47.48,
  "space_group": "Pmma",
  "lattice": [[-0.7726, 3.8719, 1.9649], [-7.8573, 0.0228, -3.1343], [-3.0294, -4.4421, 7.5620]],
  "species": ["Sn", "Sn", "Sn", "Sn", "Sn", "Sn", "Sn", "Sn", "Pd", "Pd", "K", "K"],
  "fractional_positions": [[0.5000, 0.7104, 0.0823], [0.5000, 0.7104, 0.4177], [0.5000, 0.9391, 0.7500], [0.5000, 0.0609, 0.2500], [0.0000, 0.0000, 0.5000], [0.5000, 0.2896, 0.5823], [0.0000, 0.0000, 0.0000], [0.5000, 0.2896, 0.9177], [0.0000, 0.1725, 0.7500], [0.0000, 0.8275, 0.2500], [0.0000, 0.3974, 0.2500], [0.0000, 0.6026, 0.7500]]
}


The spin magnetization results, record by record, are as follows: 0.000, 0.002, 0.001, 0.000, 0.126, 0.000, 0.000, 2.904, 0.251, 0.000 μB per formula unit.